(1)
A plane-wave DFT calculation with PBE was carried out for crystalline LiAgSe2N at its relaxed geometry.

Geometry as CIF:
```
data_LiAgSe2N
_cell_length_a 5.2592
_cell_length_b 5.2592
_cell_length_c 4.0330
_cell_angle_alpha 90.00
_cell_angle_beta 90.00
_cell_angle_gamma 90.00
_symmetry_space_group_name_H-M 'P 1'
_symmetry_Int_Tables_number 1
_symmetry_space_group_name_Hall 'P 1'
loop_
_atom_site_label
_atom_site_type_symbol
_atom_site_fract_x
_atom_site_fract_y
_atom_site_fract_z
_atom_site_occupancy
N1 N 0.0000 0.0000 0.5000 1
Li1 Li 0.5000 0.5000 0.5000 1
Ag1 Ag 0.0000 0.0000 0.0000 1
Se1 Se 0.5000 0.0000 0.0000 1
Se2 Se 0.0000 0.5000 0.0000 1
```

Results
volume = 22.3 Å³ per atom
space group = P4/mmm (123)
electronic total energy = -3.220 eV per atom
offset from the most stable computed form = 0.000 eV per atom
uncorrected formation energy = 76.4 kJ per mole of atoms
D(E_F) = 3.739 states/eV per cell



(2)
A plane-wave DFT calculation with PBE was carried out for crystalline LiAgSeN2 at its relaxed geometry.

Geometry as CIF:
```
data_LiAgSeN2
_cell_length_a 3.8042
_cell_length_b 3.8042
_cell_length_c 5.1718
_cell_angle_alpha 90.00
_cell_angle_beta 90.00
_cell_angle_gamma 90.00
_symmetry_space_group_name_H-M 'P 1'
_symmetry_Int_Tables_number 1
_symmetry_space_group_name_Hall 'P 1'
loop_
_atom_site_label
_atom_site_type_symbol
_atom_site_fract_x
_atom_site_fract_y
_atom_site_fract_z
_atom_site_occupancy
Se1 Se 0.0000 0.0000 0.5000 1
N1 N 0.5000 0.0000 0.0000 1
N2 N 0.0000 0.5000 0.0000 1
Ag1 Ag 0.5000 0.5000 0.5000 1
Li1 Li 0.0000 0.0000 0.0000 1
```

Results
volume = 15.0 Å³ per atom
space group = P4/mmm (123)
electronic total energy = -3.375 eV per atom
offset from the most stable computed form = 0.194 eV per atom
uncorrected formation energy = 154.9 kJ per mole of atoms
D(E_F) = 3.407 states/eV per cell



(3)
A plane-wave DFT calculation with PBE was carried out for crystalline LiAgSe2N at its relaxed geometry.

Geometry as CIF:
```
data_LiAgSe2N
_cell_length_a 4.8777
_cell_length_b 4.8777
_cell_length_c 3.7490
_cell_angle_alpha 90.00
_cell_angle_beta 90.00
_cell_angle_gamma 90.00
_symmetry_space_group_name_H-M 'P 1'
_symmetry_Int_Tables_number 1
_symmetry_space_group_name_Hall 'P 1'
loop_
_atom_site_label
_atom_site_type_symbol
_atom_site_fract_x
_atom_site_fract_y
_atom_site_fract_z
_atom_site_occupancy
Se1 Se 0.0000 0.5000 0.0000 1
Se2 Se 0.5000 0.0000 0.0000 1
Li1 Li 0.0000 0.0000 0.0000 1
N1 N 0.0000 0.0000 0.5000 1
Ag1 Ag 0.5000 0.5000 0.5000 1
```

Results
volume = 17.8 Å³ per atom
space group = P4/mmm (123)
electronic total energy = -3.108 eV per atom
offset from the most stable computed form = 0.112 eV per atom
uncorrected formation energy = 87.2 kJ per mole of atoms
D(E_F) = 3.644 states/eV per cell



(4)
A plane-wave DFT calculation with PBE was carried out for crystalline LiAgSeN2 at its relaxed geometry.

Geometry as CIF:
```
data_LiAgSeN2
_cell_length_a 4.1463
_cell_length_b 4.1463
_cell_length_c 5.6042
_cell_angle_alpha 90.00
_cell_angle_beta 90.00
_cell_angle_gamma 90.00
_symmetry_space_group_name_H-M 'P 1'
_symmetry_Int_Tables_number 1
_symmetry_space_group_name_Hall 'P 1'
loop_
_atom_site_label
_atom_site_type_symbol
_atom_site_fract_x
_atom_site_fract_y
_atom_site_fract_z
_atom_site_occupancy
Se1 Se 0.0000 0.0000 0.5000 1
Li1 Li 0.5000 0.5000 0.5000 1
N1 N 0.0000 0.5000 0.0000 1
N2 N 0.5000 0.0000 0.0000 1
Ag1 Ag 0.0000 0.0000 0.0000 1
```

Results
volume = 19.3 Å³ per atom
space group = P4/mmm (123)
electronic total energy = -3.569 eV per atom
offset from the most stable computed form = 0.000 eV per atom
uncorrected formation energy = 136.2 kJ per mole of atoms
D(E_F) = 2.610 states/eV per cell



(5)
A plane-wave DFT calculation with PBE was carried out for crystalline LiSiAg2N at its relaxed geometry.

Geometry as CIF:
```
data_LiSiAg2N
_cell_length_a 4.3836
_cell_length_b 4.3790
_cell_length_c 4.3836
_cell_angle_alpha 90.00
_cell_angle_beta 90.00
_cell_angle_gamma 90.00
_symmetry_space_group_name_H-M 'P 1'
_symmetry_Int_Tables_number 1
_symmetry_space_group_name_Hall 'P 1'
loop_
_atom_site_label
_atom_site_type_symbol
_atom_site_fract_x
_atom_site_fract_y
_atom_site_fract_z
_atom_site_occupancy
Ag1 Ag 0.0000 0.0000 0.5000 1
Ag2 Ag 0.5000 0.0000 0.0000 1
Li1 Li 0.0000 0.0000 0.0000 1
Si1 Si 0.0000 0.5000 0.0000 1
N1 N 0.5000 0.5000 0.5000 1
```

Results
volume = 16.8 Å³ per atom
space group = P4/mmm (123)
electronic total energy = -2.757 eV per atom
uncorrected formation energy = 146.2 kJ per mole of atoms
D(E_F) = 1.720 states/eV per cell



(6)
A plane-wave DFT calculation with PBE was carried out for crystalline LiAgSnN2 at its relaxed geometry.

Geometry as CIF:
```
data_LiAgSnN2
_cell_length_a 4.1440
_cell_length_b 5.7871
_cell_length_c 4.1440
_cell_angle_alpha 90.00
_cell_angle_beta 90.00
_cell_angle_gamma 90.00
_symmetry_space_group_name_H-M 'P 1'
_symmetry_Int_Tables_number 1
_symmetry_space_group_name_Hall 'P 1'
loop_
_atom_site_label
_atom_site_type_symbol
_atom_site_fract_x
_atom_site_fract_y
_atom_site_fract_z
_atom_site_occupancy
Ag1 Ag 0.0000 0.0000 0.0000 1
N1 N 0.5000 0.0000 0.0000 1
N2 N 0.0000 0.0000 0.5000 1
Sn1 Sn 0.0000 0.5000 0.0000 1
Li1 Li 0.5000 0.5000 0.5000 1
```

Results
volume = 19.9 Å³ per atom
space group = P4/mmm (123)
electronic total energy = -3.483 eV per atom
uncorrected formation energy = 154.4 kJ per mole of atoms
D(E_F) = 4.579 states/eV per cell



(7)
A plane-wave DFT calculation with PBE was carried out for crystalline Sr2LiAgN at its relaxed geometry.

Geometry as CIF:
```
data_Sr2LiAgN
_cell_length_a 5.3257
_cell_length_b 5.3257
_cell_length_c 4.1421
_cell_angle_alpha 90.00
_cell_angle_beta 90.00
_cell_angle_gamma 90.00
_symmetry_space_group_name_H-M 'P 1'
_symmetry_Int_Tables_number 1
_symmetry_space_group_name_Hall 'P 1'
loop_
_atom_site_label
_atom_site_type_symbol
_atom_site_fract_x
_atom_site_fract_y
_atom_site_fract_z
_atom_site_occupancy
Li1 Li 0.0000 0.0000 0.5000 1
N1 N 0.0000 0.0000 0.0000 1
Ag1 Ag 0.5000 0.5000 0.5000 1
Sr1 Sr 0.5000 0.0000 0.0000 1
Sr2 Sr 0.0000 0.5000 0.0000 1
```

Results
volume = 23.5 Å³ per atom
space group = P4/mmm (123)
electronic total energy = -3.655 eV per atom
offset from the most stable computed form = 0.020 eV per atom
uncorrected formation energy = -35.1 kJ per mole of atoms
D(E_F) = 1.681 states/eV per cell



(8)
A plane-wave DFT calculation with PBE was carried out for crystalline Sr2LiAgN at its relaxed geometry.

Geometry as CIF:
```
data_Sr2LiAgN
_cell_length_a 3.8257
_cell_length_b 7.6819
_cell_length_c 9.0432
_cell_angle_alpha 109.58
_cell_angle_beta 90.00
_cell_angle_gamma 90.00
_symmetry_space_group_name_H-M 'P 1'
_symmetry_Int_Tables_number 1
_symmetry_space_group_name_Hall 'P 1'
loop_
_atom_site_label
_atom_site_type_symbol
_atom_site_fract_x
_atom_site_fract_y
_atom_site_fract_z
_atom_site_occupancy
Sr1 Sr 0.7500 0.8107 0.0205 1
Sr2 Sr 0.2500 0.1893 0.9795 1
Sr3 Sr 0.7500 0.8359 0.6395 1
Sr4 Sr 0.2500 0.1641 0.3605 1
Ag1 Ag 0.2500 0.6971 0.3019 1
Ag2 Ag 0.7500 0.3029 0.6981 1
Li1 Li 0.7500 0.4383 0.2649 1
Li2 Li 0.2500 0.5617 0.7351 1
N1 N 0.2500 0.8338 0.8284 1
N2 N 0.7500 0.1662 0.1716 1
```

Results
volume = 25.0 Å³ per atom
space group = P2_1/m (11)
electronic total energy = -3.675 eV per atom
offset from the most stable computed form = 0.000 eV per atom
uncorrected formation energy = -37.1 kJ per mole of atoms
D(E_F) = 6.226 states/eV per cell



(9)
A plane-wave DFT calculation with PBE was carried out for crystalline Li2TcAgN at its relaxed geometry.

Geometry as CIF:
```
data_Li2TcAgN
_cell_length_a 4.0925
_cell_length_b 4.0925
_cell_length_c 3.8883
_cell_angle_alpha 90.00
_cell_angle_beta 90.00
_cell_angle_gamma 90.00
_symmetry_space_group_name_H-M 'P 1'
_symmetry_Int_Tables_number 1
_symmetry_space_group_name_Hall 'P 1'
loop_
_atom_site_label
_atom_site_type_symbol
_atom_site_fract_x
_atom_site_fract_y
_atom_site_fract_z
_atom_site_occupancy
Li1 Li 0.5000 0.0000 0.0000 1
Li2 Li 0.0000 0.5000 0.0000 1
Tc1 Tc 0.0000 0.0000 0.5000 1
Ag1 Ag 0.5000 0.5000 0.5000 1
N1 N 0.0000 0.0000 0.0000 1
```

Results
volume = 13.0 Å³ per atom
space group = P4/mmm (123)
electronic total energy = -5.218 eV per atom
uncorrected formation energy = -13.9 kJ per mole of atoms
D(E_F) = 2.211 states/eV per cell



(10)
A plane-wave DFT calculation with PBE was carried out for crystalline LiAgTeN2 at its relaxed geometry.

Geometry as CIF:
```
data_LiAgTeN2
_cell_length_a 4.1898
_cell_length_b 4.1898
_cell_length_c 6.0225
_cell_angle_alpha 90.00
_cell_angle_beta 90.00
_cell_angle_gamma 90.00
_symmetry_space_group_name_H-M 'P 1'
_symmetry_Int_Tables_number 1
_symmetry_space_group_name_Hall 'P 1'
loop_
_atom_site_label
_atom_site_type_symbol
_atom_site_fract_x
_atom_site_fract_y
_atom_site_fract_z
_atom_site_occupancy
N1 N 0.5000 0.0000 0.0000 1
N2 N 0.0000 0.5000 0.0000 1
Li1 Li 0.5000 0.5000 0.5000 1
Te1 Te 0.0000 0.0000 0.5000 1
Ag1 Ag 0.0000 0.0000 0.0000 1
```

Results
volume = 21.1 Å³ per atom
space group = P4/mmm (123)
electronic total energy = -3.482 eV per atom
offset from the most stable computed form = 0.000 eV per atom
uncorrected formation energy = 137.9 kJ per mole of atoms
D(E_F) = 1.980 states/eV per cell



(11)
A plane-wave DFT calculation with PBE was carried out for crystalline LiAgTeN2 at its relaxed geometry.

Geometry as CIF:
```
data_LiAgTeN2
_cell_length_a 4.0826
_cell_length_b 4.0826
_cell_length_c 5.3370
_cell_angle_alpha 90.00
_cell_angle_beta 90.00
_cell_angle_gamma 90.00
_symmetry_space_group_name_H-M 'P 1'
_symmetry_Int_Tables_number 1
_symmetry_space_group_name_Hall 'P 1'
loop_
_atom_site_label
_atom_site_type_symbol
_atom_site_fract_x
_atom_site_fract_y
_atom_site_fract_z
_atom_site_occupancy
N1 N 0.0000 0.5000 0.0000 1
N2 N 0.5000 0.0000 0.0000 1
Li1 Li 0.0000 0.0000 0.0000 1
Ag1 Ag 0.5000 0.5000 0.5000 1
Te1 Te 0.0000 0.0000 0.5000 1
```

Results
volume = 17.8 Å³ per atom
space group = P4/mmm (123)
electronic total energy = -3.316 eV per atom
offset from the most stable computed form = 0.166 eV per atom
uncorrected formation energy = 153.9 kJ per mole of atoms
D(E_F) = 2.644 states/eV per cell



(12)
A plane-wave DFT calculation with PBE was carried out for crystalline LiTi2AgN at its relaxed geometry.

Geometry as CIF:
```
data_LiTi2AgN
_cell_length_a 4.0915
_cell_length_b 4.0915
_cell_length_c 4.1467
_cell_angle_alpha 90.00
_cell_angle_beta 90.00
_cell_angle_gamma 90.00
_symmetry_space_group_name_H-M 'P 1'
_symmetry_Int_Tables_number 1
_symmetry_space_group_name_Hall 'P 1'
loop_
_atom_site_label
_atom_site_type_symbol
_atom_site_fract_x
_atom_site_fract_y
_atom_site_fract_z
_atom_site_occupancy
Ti1 Ti 0.5000 0.0000 0.0000 1
Ti2 Ti 0.0000 0.5000 0.0000 1
Ag1 Ag 0.5000 0.5000 0.5000 1
Li1 Li 0.0000 0.0000 0.5000 1
N1 N 0.0000 0.0000 0.0000 1
```

Results
volume = 13.9 Å³ per atom
space group = P4/mmm (123)
electronic total energy = -6.364 eV per atom
uncorrected formation energy = -56.7 kJ per mole of atoms
D(E_F) = 4.074 states/eV per cell



(13)
A plane-wave DFT calculation with PBE was carried out for crystalline Li2ZnAgN at its relaxed geometry.

Geometry as CIF:
```
data_Li2ZnAgN
_cell_length_a 4.1792
_cell_length_b 4.1792
_cell_length_c 3.8803
_cell_angle_alpha 90.00
_cell_angle_beta 90.00
_cell_angle_gamma 90.00
_symmetry_space_group_name_H-M 'P 1'
_symmetry_Int_Tables_number 1
_symmetry_space_group_name_Hall 'P 1'
loop_
_atom_site_label
_atom_site_type_symbol
_atom_site_fract_x
_atom_site_fract_y
_atom_site_fract_z
_atom_site_occupancy
Ag1 Ag 0.5000 0.5000 0.5000 1
N1 N 0.0000 0.0000 0.0000 1
Li1 Li 0.5000 0.0000 0.0000 1
Li2 Li 0.0000 0.5000 0.0000 1
Zn1 Zn 0.0000 0.0000 0.5000 1
```

Results
volume = 13.6 Å³ per atom
space group = P4/mmm (123)
electronic total energy = -3.387 eV per atom
uncorrected formation energy = -12.7 kJ per mole of atoms
D(E_F) = 0.795 states/eV per cell